Record 1
# La2Pr4ErTm

Crystalline La2Pr4ErTm at its relaxed geometry (PBE-GGA, Alexandria via LeMat-Bulk).

Cell: 5.157 5.198 10.420 Å, 90.00 90.09 90.00°
Element x y z (fractional)
La (0.000, 0.000, 0.000)
La (0.500, 0.500, 0.500)
Pr (0.000, 0.500, 0.250)
Pr (0.000, 0.500, 0.750)
Pr (0.499, 0.000, 0.749)
Pr (0.501, 0.000, 0.251)
Er (0.500, 0.500, 0.000)
Tm (0.000, 0.000, 0.500)

- Density of states at the Fermi level: 13.70 states/eV/f.u.
- Crystal system: monoclinic
- Formation energy: 0.53 kcal/mol of atoms

Record 2
# LaPrY2Er5

Crystalline LaPrY2Er5 at its relaxed geometry (PBE-GGA, Alexandria via LeMat-Bulk).

Cell: 9.840 9.840 9.840 Å, 126.96 126.96 78.32°
Element x y z (fractional)
La (0.250, 0.250, 0.000)
La (0.750, 0.750, 0.000)
Pr (0.250, 0.750, 0.500)
Pr (0.750, 0.250, 0.500)
Y (0.117, 0.617, 0.734)
Y (0.383, 0.117, 0.500)
Y (0.617, 0.883, 0.500)
Y (0.883, 0.383, 0.266)
Er (0.000, 0.000, 0.000)
Er (0.071, 0.162, 0.500)
Er (0.162, 0.662, 0.091)
Er (0.338, 0.429, 0.500)
Er (0.429, 0.929, 0.091)
Er (0.500, 0.500, 0.000)
Er (0.571, 0.071, 0.909)
Er (0.662, 0.571, 0.500)
Er (0.838, 0.338, 0.909)
Er (0.929, 0.838, 0.500)

- Density of states at the Fermi level: 11.18 states/eV/f.u.
- Crystal system: tetragonal
- Formation energy: 6.47 kcal/mol of atoms

Record 3
# La2PrY6Er

Crystalline La2PrY6Er at its relaxed geometry (PBE-GGA, Alexandria via LeMat-Bulk).

Cell: 8.799 8.799 9.967 Å, 95.52 95.52 117.37°
Element x y z (fractional)
La (0.194, 0.287, 0.045)
La (0.287, 0.194, 0.545)
La (0.713, 0.806, 0.455)
La (0.806, 0.713, 0.955)
Pr (0.014, 0.986, 0.250)
Pr (0.986, 0.014, 0.750)
Y (0.018, 0.576, 0.188)
Y (0.117, 0.734, 0.557)
Y (0.266, 0.883, 0.943)
Y (0.303, 0.513, 0.384)
Y (0.424, 0.982, 0.312)
Y (0.487, 0.697, 0.116)
Y (0.513, 0.303, 0.884)
Y (0.576, 0.018, 0.688)
Y (0.697, 0.487, 0.616)
Y (0.734, 0.117, 0.057)
Y (0.883, 0.266, 0.443)
Y (0.982, 0.424, 0.812)
Er (0.404, 0.596, 0.750)
Er (0.596, 0.404, 0.250)

- Density of states at the Fermi level: 15.05 states/eV/f.u.
- Crystal system: monoclinic
- Formation energy: 2.59 kcal/mol of atoms

Record 4
# La5PrYEr2

Crystalline La5PrYEr2 at its relaxed geometry (PBE-GGA, Alexandria via LeMat-Bulk).

Cell: 11.216 11.216 10.719 Å, 90.00 90.00 151.51°
Element x y z (fractional)
La (0.000, 0.000, 0.000)
La (0.000, 0.000, 0.500)
La (0.122, 0.878, 0.750)
La (0.221, 0.779, 0.059)
La (0.221, 0.779, 0.442)
La (0.500, 0.500, 0.250)
La (0.500, 0.500, 0.750)
La (0.779, 0.221, 0.559)
La (0.779, 0.221, 0.942)
La (0.878, 0.122, 0.250)
Pr (0.284, 0.716, 0.751)
Pr (0.716, 0.284, 0.251)
Y (0.100, 0.900, 0.250)
Y (0.900, 0.100, 0.750)
Er (0.387, 0.613, 0.503)
Er (0.388, 0.612, 0.997)
Er (0.612, 0.388, 0.497)
Er (0.613, 0.387, 0.003)

- Density of states at the Fermi level: 13.58 states/eV/f.u.
- Crystal system: orthorhombic
- Formation energy: 2.97 kcal/mol of atoms

Record 5
# La5PrY2Er

Crystalline La5PrY2Er at its relaxed geometry (PBE-GGA, Alexandria via LeMat-Bulk).

Cell: 9.781 9.781 9.781 Å, 121.01 121.01 88.26°
Element x y z (fractional)
La (0.000, 0.000, 0.000)
La (0.064, 0.564, 0.904)
La (0.161, 0.064, 0.500)
La (0.339, 0.839, 0.904)
La (0.436, 0.339, 0.500)
La (0.500, 0.500, 0.000)
La (0.564, 0.661, 0.500)
La (0.661, 0.161, 0.096)
La (0.839, 0.936, 0.500)
La (0.936, 0.436, 0.096)
Pr (0.250, 0.250, 0.000)
Pr (0.750, 0.750, 0.000)
Y (0.108, 0.392, 0.500)
Y (0.392, 0.892, 0.284)
Y (0.608, 0.108, 0.716)
Y (0.892, 0.608, 0.500)
Er (0.250, 0.750, 0.500)
Er (0.750, 0.250, 0.500)

- Density of states at the Fermi level: 14.96 states/eV/f.u.
- Crystal system: tetragonal
- Formation energy: 6.71 kcal/mol of atoms

Record 6
# LaPr6Y2Er

Crystalline LaPr6Y2Er at its relaxed geometry (PBE-GGA, Alexandria via LeMat-Bulk).

Cell: 9.053 9.053 9.782 Å, 93.93 93.93 117.30°
Element x y z (fractional)
La (0.094, 0.906, 0.750)
La (0.906, 0.094, 0.250)
Pr (0.013, 0.796, 0.381)
Pr (0.067, 0.516, 0.185)
Pr (0.204, 0.987, 0.119)
Pr (0.263, 0.609, 0.557)
Pr (0.391, 0.737, 0.943)
Pr (0.484, 0.933, 0.315)
Pr (0.516, 0.067, 0.685)
Pr (0.609, 0.263, 0.057)
Pr (0.737, 0.391, 0.443)
Pr (0.796, 0.013, 0.881)
Pr (0.933, 0.484, 0.815)
Pr (0.987, 0.204, 0.619)
Y (0.212, 0.305, 0.952)
Y (0.305, 0.212, 0.452)
Y (0.695, 0.788, 0.548)
Y (0.788, 0.695, 0.048)
Er (0.467, 0.533, 0.250)
Er (0.533, 0.467, 0.750)

- Density of states at the Fermi level: 15.29 states/eV/f.u.
- Crystal system: monoclinic
- Formation energy: 2.59 kcal/mol of atoms

Record 7
# LaPr2YEr

Crystalline LaPr2YEr at its relaxed geometry (PBE-GGA, Alexandria via LeMat-Bulk).

Cell: 9.073 6.456 6.454 Å, 90.00 107.24 90.00°
Element x y z (fractional)
La (0.000, 0.000, 0.000)
La (0.000, 0.000, 0.500)
Pr (0.316, 0.314, 0.166)
Pr (0.316, 0.686, 0.666)
Pr (0.684, 0.314, 0.334)
Pr (0.684, 0.686, 0.834)
Y (0.500, 0.167, 0.750)
Y (0.500, 0.833, 0.250)
Er (0.000, 0.482, 0.750)
Er (0.000, 0.518, 0.250)

- Density of states at the Fermi level: 6.95 states/eV/f.u.
- Crystal system: monoclinic
- Formation energy: 6.08 kcal/mol of atoms

Record 8
# La3Pr6Y2Er

Crystalline La3Pr6Y2Er at its relaxed geometry (PBE-GGA, Alexandria via LeMat-Bulk).

Cell: 6.392 6.392 12.152 Å, 95.03 95.03 120.05°
Element x y z (fractional)
La (0.000, 0.000, 0.000)
La (0.333, 0.667, 0.000)
La (0.667, 0.333, 0.000)
Pr (0.086, 0.418, 0.256)
Pr (0.249, 0.249, 0.744)
Pr (0.418, 0.086, 0.256)
Pr (0.582, 0.914, 0.744)
Pr (0.751, 0.751, 0.256)
Pr (0.914, 0.582, 0.744)
Y (0.167, 0.833, 0.500)
Y (0.833, 0.167, 0.500)
Er (0.500, 0.500, 0.500)

- Density of states at the Fermi level: 18.66 states/eV/f.u.
- Crystal system: monoclinic
- Formation energy: 0.37 kcal/mol of atoms

Record 9
# LaPr4Y2Er2

Crystalline LaPr4Y2Er2 at its relaxed geometry (PBE-GGA, Alexandria via LeMat-Bulk).

Cell: 8.139 8.139 8.127 Å, 107.08 107.08 36.85°
Element x y z (fractional)
La (0.000, 0.000, 0.000)
Pr (0.223, 0.223, 0.330)
Pr (0.445, 0.445, 0.668)
Pr (0.555, 0.555, 0.332)
Pr (0.777, 0.777, 0.670)
Y (0.112, 0.112, 0.668)
Y (0.888, 0.888, 0.332)
Er (0.331, 0.331, 0.001)
Er (0.669, 0.669, 0.999)

- Density of states at the Fermi level: 13.56 states/eV/f.u.
- Crystal system: monoclinic
- Formation energy: 0.48 kcal/mol of atoms

Record 10
# La2Pr2YEr

Crystalline La2Pr2YEr at its relaxed geometry (PBE-GGA, Alexandria via LeMat-Bulk).

Cell: 7.166 5.779 10.038 Å, 90.00 90.00 90.00°
Element x y z (fractional)
La (0.000, 0.000, 0.000)
La (0.250, 0.500, 0.175)
La (0.500, 0.000, 0.000)
La (0.750, 0.500, 0.825)
Pr (0.250, 0.000, 0.331)
Pr (0.250, 0.500, 0.835)
Pr (0.750, 0.000, 0.669)
Pr (0.750, 0.500, 0.165)
Y (0.000, 0.500, 0.500)
Y (0.500, 0.500, 0.500)
Er (0.250, 0.000, 0.657)
Er (0.750, 0.000, 0.343)

- Density of states at the Fermi level: 9.27 states/eV/f.u.
- Crystal system: orthorhombic
- Formation energy: 1.13 kcal/mol of atoms

Record 11
# La3Pr2Y6Er

Crystalline La3Pr2Y6Er at its relaxed geometry (PBE-GGA, Alexandria via LeMat-Bulk).

Cell: 6.303 6.303 11.945 Å, 95.04 95.04 120.01°
Element x y z (fractional)
La (0.000, 0.000, 0.000)
La (0.333, 0.667, 0.000)
La (0.667, 0.333, 0.000)
Pr (0.166, 0.834, 0.500)
Pr (0.834, 0.166, 0.500)
Y (0.085, 0.418, 0.253)
Y (0.250, 0.250, 0.748)
Y (0.418, 0.085, 0.253)
Y (0.582, 0.915, 0.747)
Y (0.750, 0.750, 0.252)
Y (0.915, 0.582, 0.747)
Er (0.500, 0.500, 0.500)

- Density of states at the Fermi level: 15.13 states/eV/f.u.
- Crystal system: monoclinic
- Formation energy: 0.26 kcal/mol of atoms

Record 12
# La2Pr4YEr2

Crystalline La2Pr4YEr2 at its relaxed geometry (PBE-GGA, Alexandria via LeMat-Bulk).

Cell: 8.228 8.228 8.142 Å, 107.71 107.71 36.86°
Element x y z (fractional)
La (0.111, 0.111, 0.171)
La (0.889, 0.889, 0.829)
Pr (0.221, 0.221, 0.828)
Pr (0.444, 0.444, 0.169)
Pr (0.556, 0.556, 0.831)
Pr (0.779, 0.779, 0.172)
Y (0.000, 0.000, 0.500)
Er (0.333, 0.333, 0.500)
Er (0.667, 0.667, 0.500)

- Density of states at the Fermi level: 16.15 states/eV/f.u.
- Crystal system: monoclinic
- Formation energy: 0.61 kcal/mol of atoms